## LiUTc (GGA-PBE)

Data for an optimized crystal structure of LiUTc.

Unit cell a=2.916 b=4.885 c=8.294 alpha=108.19 beta=102.49 gamma=71.44
Fractional positions:
Li 0.089 0.727 0.475
Li 0.911 0.273 0.525
Tc 0.361 0.967 0.228
Tc 0.639 0.033 0.772
U 0.632 0.649 0.883
U 0.368 0.351 0.117

The value obtained for the theoretical density is 10.80 g cm⁻³. As for the total magnetic moment: 0.24 μB per formula unit. The formation energy is 0.013 eV/atom. Its density of states at the Fermi level is 3.38 states/eV/f.u. As for the space group: P-1, No. 2.